# MgP2W

A geometry-optimized MgP2W structure (PBEsol, Alexandria via LeMat-Bulk).

```
MgP2W
1.0
3.083 0.000 0.000
0.000 3.083 0.000
0.000 0.000 6.342
Mg P W
1 2 1
direct
0.000 0.000 0.000
0.500 0.500 0.288
0.500 0.500 0.712
0.000 0.000 0.500
```

space-group type: P4/mmm
DFT total energy: -7.09 eV per atom